Record 1
CaHoLuAl | PBE | optimized geometry

Summary:
Space-group type: No. 216
E_tot (eV/atom): -3.73
Density of states at the Fermi level (states/eV/cell): 3.39

extended XYZ file:
```
4
Lattice="-5.083 -1.579 0.321 -2.025 -1.531 4.690 -3.592 3.063 2.480" Properties=species:S:1:pos:R:3 pbc="T T T"
Ca -2.675 -0.012 1.873
Lu 0.000 0.000 0.000
Ho -5.350 -0.023 3.746
Al -8.026 -0.035 5.618
```

***

Record 2
CaHoMgAl | PBE | optimized geometry

Summary:
Space-group type: No. 99
E_tot (eV/atom): -3.17
Density of states at the Fermi level (states/eV/cell): 3.04

extended XYZ file:
```
4
Lattice="-0.758 3.483 -0.587 -1.647 0.182 3.210 7.025 2.115 3.485" Properties=species:S:1:pos:R:3 pbc="T T T"
Ca 6.162 1.856 3.057
Ho 2.354 0.709 1.168
Mg 2.996 3.097 3.395
Al -0.374 2.082 1.722
```

***

Record 3
CaHoMgAl | PBE | optimized geometry

Summary:
Space-group type: No. 216
E_tot (eV/atom): -3.17
Density of states at the Fermi level (states/eV/cell): 1.96

extended XYZ file:
```
4
Lattice="5.274 0.000 0.000 2.637 4.567 0.000 2.637 1.522 4.306" Properties=species:S:1:pos:R:3 pbc="T T T"
Mg 7.911 4.567 3.230
Ca 0.000 0.000 0.000
Ho 5.274 3.045 2.153
Al 2.637 1.522 1.077
```

***

Record 4
CaNdHoAl | PBE | optimized geometry

Summary:
Space-group type: No. 216
E_tot (eV/atom): -3.83
Density of states at the Fermi level (states/eV/cell): 2.90

extended XYZ file:
```
4
Lattice="5.444 0.000 0.000 2.722 4.715 0.000 2.722 1.572 4.445" Properties=species:S:1:pos:R:3 pbc="T T T"
Ca 2.722 1.572 1.111
Nd 5.444 3.143 2.223
Ho 0.000 0.000 0.000
Al 8.166 4.715 3.334
```

***

Record 5
CaHoAlO4 | PBE | optimized geometry

Summary:
Uncorrected formation energy (eV/atom): -3.20
Space-group type: No. 107
E_tot (eV/atom): -7.51
Density of states at the Fermi level (states/eV/cell): 0.00

extended XYZ file:
```
7
Lattice="-3.503 0.446 0.987 -0.275 -3.598 0.650 3.583 2.461 4.794" Properties=species:S:1:pos:R:3 pbc="T T T"
Ca -1.398 -1.320 2.443
Ho 1.216 0.635 4.029
Al 0.017 0.009 0.058
O -0.078 1.097 6.036
O 1.535 -0.925 5.867
O -0.762 -0.987 4.553
O 0.579 0.302 1.918
```

***

Record 6
CaHoAlPd | PBE | optimized geometry

Summary:
Space-group type: No. 216
E_tot (eV/atom): -4.36
Density of states at the Fermi level (states/eV/cell): 1.99

extended XYZ file:
```
4
Lattice="-2.784 1.413 3.986 -0.491 -3.101 3.972 2.255 1.133 4.389" Properties=species:S:1:pos:R:3 pbc="T T T"
Ca -0.765 -0.416 9.260
Ho -0.255 -0.139 3.087
Pd 0.000 0.000 0.000
Al -0.510 -0.277 6.174
```